Entry from Alexandria via LeMat-Bulk: a relaxed structure of SnBN3 (GGA-PBEsol).

The structure in POSCAR format:
```
SnBN3
1.0
4.157 0.000 0.000
0.000 4.157 0.000
0.000 0.000 4.157
Sn B N
1 1 3
Cartesian
0.000 0.000 0.000 Sn
2.079 2.079 2.079 B
0.000 0.000 2.079 N
0.000 2.079 0.000 N
2.079 0.000 0.000 N
```

**Crystal system**: cubic
**Symmetry**: Pm-3m
**Formation energy from raw total energies**: 13.09 eV per formula unit

Entry from Alexandria via LeMat-Bulk: a relaxed structure of InPb2 (GGA-PBEsol).

The structure in POSCAR format:
```
InPb2
1.0
-1.691 1.691 7.442
1.691 -1.691 7.442
1.691 1.691 -7.442
In Pb
1 2
Cartesian
0.000 0.000 0.000 In
0.000 0.000 5.004 Pb
0.000 0.000 9.880 Pb
```

**Crystal system**: tetragonal
**Energy of formation**: 11 meV/atom
**Symmetry**: I4/mmm

Entry from Alexandria via LeMat-Bulk: a relaxed structure of NaZr2TaPd (GGA-PBEsol).

The structure in POSCAR format:
```
NaZr2TaPd
1.0
4.970 0.000 0.000
0.000 4.970 0.000
0.000 0.000 4.682
Na Zr Ta Pd
1 2 1 1
Cartesian
0.000 0.000 0.000 Na
0.000 2.485 2.341 Zr
2.485 0.000 2.341 Zr
2.485 2.485 0.000 Ta
0.000 0.000 2.341 Pd
```

**Crystal system**: tetragonal
**Energy of formation**: 1060 meV/atom
**Symmetry**: P4/mmm

Entry from Alexandria via LeMat-Bulk: a relaxed structure of NaV3P2O13 (GGA-PBEsol).

The structure in POSCAR format:
```
NaV3P2O13
1.0
8.396 0.000 0.000
0.000 11.985 0.000
0.000 0.000 10.140
Na V P O
4 12 8 52
Cartesian
1.227 0.447 0.000 Na
2.971 6.440 5.070 Na
5.424 5.545 0.000 Na
7.169 11.538 5.070 Na
0.007 4.377 8.224 V
0.048 1.631 2.681 V
1.482 8.961 0.365 V
2.716 2.968 5.435 V
4.150 7.624 7.751 V
4.191 10.370 3.154 V
4.205 1.616 8.224 V
4.246 4.361 2.681 V
5.679 9.017 0.365 V
6.914 3.024 5.435 V
8.347 10.354 7.751 V
8.388 7.608 3.154 V
0.957 7.427 7.828 P
1.015 10.543 3.027 P
3.183 4.550 8.097 P
3.241 1.434 2.758 P
5.155 10.551 7.828 P
5.213 7.435 3.027 P
7.381 1.442 8.097 P
7.439 4.559 2.758 P
0.019 2.471 8.598 O
0.041 3.488 2.289 O
0.447 6.042 7.412 O
0.518 11.919 3.516 O
0.755 10.920 6.503 O
0.871 7.098 4.382 O
1.080 10.083 9.073 O
1.091 7.972 1.826 O
1.112 10.530 1.478 O
1.114 2.993 5.431 O
1.113 7.517 9.365 O
1.808 4.255 8.737 O
1.860 1.655 2.072 O
2.338 7.647 7.142 O
2.390 10.247 3.667 O
3.085 1.524 4.295 O
3.084 8.985 0.361 O
3.086 4.537 6.548 O
3.106 1.979 6.896 O
3.118 4.090 4.003 O
3.326 1.106 9.452 O
3.443 4.928 1.433 O
3.680 5.927 8.586 O
3.751 0.049 2.342 O
4.157 9.481 7.360 O
4.179 8.463 3.528 O
4.217 3.522 8.598 O
4.239 2.504 2.289 O
4.645 11.936 7.412 O
4.716 6.058 3.516 O
4.953 7.057 6.503 O
5.069 10.880 4.382 O
5.278 7.895 9.073 O
5.289 10.006 1.826 O
5.310 7.448 1.478 O
5.312 3.000 5.431 O
5.311 10.461 9.365 O
6.006 1.738 8.737 O
6.058 4.338 2.072 O
6.535 10.330 7.142 O
6.588 7.730 3.667 O
7.283 4.469 4.295 O
7.282 8.993 0.361 O
7.284 1.455 6.548 O
7.304 4.014 6.896 O
7.315 1.902 4.003 O
7.524 4.887 9.452 O
7.641 1.065 1.433 O
7.878 0.066 8.586 O
7.949 5.943 2.342 O
8.354 8.497 7.360 O
8.376 9.515 3.528 O
```

**Crystal system**: orthorhombic
**Symmetry**: Pna2_1
**Formation energy from raw total energies**: -43.08 eV per formula unit

Entry from Alexandria via LeMat-Bulk: a relaxed structure of ZnCrCo6 (GGA-PBEsol).

The structure in POSCAR format:
```
ZnCrCo6
1.0
3.485 -4.927 0.000
3.485 4.927 0.000
0.000 0.000 9.872
Zn Cr Co
4 4 24
Cartesian
0.000 0.000 2.449 Zn
0.000 0.000 7.424 Zn
3.485 2.469 4.936 Zn
3.485 -2.469 4.936 Zn
3.485 2.427 0.000 Cr
3.485 0.000 2.496 Cr
3.485 0.000 7.376 Cr
3.485 -2.427 0.000 Cr
0.000 0.000 0.000 Co
0.000 0.000 4.936 Co
1.769 1.251 1.203 Co
1.769 1.251 8.669 Co
1.765 1.218 3.677 Co
1.765 1.218 6.195 Co
3.485 2.433 2.415 Co
3.485 2.433 7.457 Co
1.765 -1.218 3.677 Co
1.765 -1.218 6.195 Co
1.769 -1.251 1.203 Co
1.769 -1.251 8.669 Co
3.485 0.000 0.000 Co
3.485 0.000 4.936 Co
5.201 1.251 1.203 Co
5.201 1.251 8.669 Co
5.205 1.218 3.677 Co
5.205 1.218 6.195 Co
3.485 -2.433 2.415 Co
3.485 -2.433 7.457 Co
5.205 -1.218 3.677 Co
5.205 -1.218 6.195 Co
5.201 -1.251 1.203 Co
5.201 -1.251 8.669 Co
```

**Crystal system**: orthorhombic
**Energy of formation**: 30 meV/atom
**Symmetry**: Cmmm

Entry from Alexandria via LeMat-Bulk: a relaxed structure of CaAuCl2 (GGA-PBEsol).

The structure in POSCAR format:
```
CaAuCl2
1.0
2.059 1.189 7.766
-2.059 1.189 7.766
0.000 -2.377 7.766
Ca Au Cl
1 1 2
Cartesian
0.000 0.000 0.000 Ca
0.000 0.000 11.649 Au
0.000 0.000 2.586 Cl
0.000 0.000 20.712 Cl
```

**Crystal system**: trigonal
**Symmetry**: R-3m
**Polymorph energy (0 for the lowest one)**: 543 meV per atom
**Formation energy from raw total energies**: -2.09 eV per formula unit

Entry from Alexandria via LeMat-Bulk: a relaxed structure of Sm4Er11S22 (GGA-PBEsol).

The structure in POSCAR format:
```
Sm4Er11S22
1.0
19.175 -1.929 0.000
19.175 1.929 0.000
-0.326 0.000 11.150
Sm Er S
4 11 22
Cartesian
4.019 0.000 0.129 Sm
14.011 0.000 3.908 Sm
24.013 0.000 7.242 Sm
34.005 0.000 11.021 Sm
0.000 0.000 0.000 Er
2.599 0.000 3.986 Er
7.437 0.000 10.494 Er
10.064 0.000 3.934 Er
12.881 0.000 7.790 Er
17.599 0.000 3.001 Er
20.425 0.000 8.149 Er
25.143 0.000 3.359 Er
27.960 0.000 7.215 Er
30.587 0.000 0.656 Er
35.425 0.000 7.163 Er
0.236 0.000 2.679 S
3.144 0.000 8.430 S
5.066 0.000 5.065 S
6.407 0.000 1.655 S
6.946 0.000 7.701 S
9.720 0.000 1.344 S
10.522 0.000 6.603 S
13.433 0.000 1.057 S
15.348 0.000 8.828 S
16.757 0.000 5.462 S
17.331 0.000 0.322 S
20.693 0.000 10.828 S
21.267 0.000 5.688 S
22.676 0.000 2.322 S
24.591 0.000 10.092 S
27.502 0.000 4.547 S
28.304 0.000 9.806 S
31.078 0.000 3.448 S
31.616 0.000 9.494 S
32.958 0.000 6.085 S
34.880 0.000 2.720 S
37.788 0.000 8.471 S
```

**Crystal system**: monoclinic
**Symmetry**: C2/m
**Formation energy from raw total energies**: -79.20 eV per formula unit

Entry from Alexandria via LeMat-Bulk: a relaxed structure of Al3SnIr (GGA-PBEsol).

The structure in POSCAR format:
```
Al3SnIr
1.0
4.941 0.000 0.000
0.000 4.941 0.000
0.000 0.000 4.941
Al Sn Ir
3 1 1
Cartesian
0.000 0.000 2.470 Al
0.000 2.470 0.000 Al
2.470 0.000 0.000 Al
0.000 0.000 0.000 Sn
2.470 2.470 2.470 Ir
```

**Crystal system**: cubic
**Energy of formation**: 1567 meV/atom
**Symmetry**: Pm-3m